Entry from Alexandria via LeMat-Bulk: an optimized crystal structure of Ta2MnBr (PBE).

Cell: 4.9389 4.9389 4.9527 Å, 82.03 82.03 36.87°
Positions (direct):
Br1 0.7500 0.7500 0.7500
Mn1 0.2500 0.2500 0.2500
Ta1 0.9963 0.9963 0.0224
Ta2 0.5037 0.5037 0.4776

Calculated values
size of the total moment	2.84	μB per formula unit
offset from the most stable computed form	32.75	kJ/mol of atoms
DOS at the Fermi energy	0.7752	states/eV/atom
energy relative to the elements, uncorrected	0.547	eV/atom